1.
## SrSm2Tl3Se6 (PBE)

Data for a geometry-optimized SrSm2Tl3Se6 structure.

Cell and atoms, written as CIF:
```
data_SrSm2Tl3Se6
_chemical_formula_sum 'Sr2 Sm4 Tl6 Se12'
_symmetry_space_group_name_H-M 'C 1 2/m 1'
_symmetry_Int_Tables_number 12
_cell_length_a 19.620
_cell_length_b 4.320
_cell_length_c 9.067
_cell_angle_alpha 90.00
_cell_angle_beta 105.75
_cell_angle_gamma 90.00
loop_
_symmetry_equiv_pos_as_xyz
'x,y,z'
'-x,-y,-z'
'-x,y,-z'
'x,-y,z'
'x+1/2,y+1/2,z'
'-x+1/2,-y+1/2,-z'
'-x+1/2,y+1/2,-z'
'x+1/2,-y+1/2,z'
loop_
_atom_site_label
_atom_site_fract_x
_atom_site_fract_y
_atom_site_fract_z
_atom_site_occupancy
Sr1 0.000 0.000 0.000 1
Sm1 0.169 0.500 0.334 1
Tl1 0.000 0.000 0.500 1
Tl2 0.165 0.500 0.833 1
Se1 0.014 0.500 0.253 1
Se2 0.165 0.000 0.112 1
Se3 0.174 0.000 0.561 1
```

Calculated values
* total magnetic moment: 0.0 μB/cell
* formation energy (no corrections): -1.27 eV/atom
* DOS at the Fermi energy: 5.37 states/eV/f.u.


2.
## Sr2SmTmSe4 (PBE)

Data for a geometry-optimized Sr2SmTmSe4 structure.

Cell and atoms, written as CIF:
```
data_Sr2SmTmSe4
_chemical_formula_sum 'Sr2 Sm1 Tm1 Se4'
_symmetry_space_group_name_H-M 'P 1 2/m 1'
_symmetry_Int_Tables_number 10
_cell_length_a 7.306
_cell_length_b 4.216
_cell_length_c 7.469
_cell_angle_alpha 90.00
_cell_angle_beta 109.00
_cell_angle_gamma 90.00
loop_
_symmetry_equiv_pos_as_xyz
'x,y,z'
'-x,-y,-z'
'-x,y,-z'
'x,-y,z'
loop_
_atom_site_label
_atom_site_fract_x
_atom_site_fract_y
_atom_site_fract_z
_atom_site_occupancy
Sr1 0.000 0.000 0.000 1
Sr2 0.500 0.500 0.000 1
Sm1 0.000 0.500 0.500 1
Tm1 0.500 0.000 0.500 1
Se1 0.252 0.000 0.734 1
Se2 0.264 0.500 0.271 1
```

Calculated values
* total magnetic moment: 0.0 μB/cell
* formation energy (no corrections): -1.87 eV/atom
* DOS at the Fermi energy: 3.53 states/eV/f.u.


3.
## Sr4SmY3Se8 (PBE)

Data for a geometry-optimized Sr4SmY3Se8 structure.

Cell and atoms, written as CIF:
```
data_Sr4SmY3Se8
_chemical_formula_sum 'Sr12 Sm3 Y9 Se24'
_symmetry_space_group_name_H-M 'R -3 m'
_symmetry_Int_Tables_number 166
_symmetry_space_group_name_Hall '-R 3 2"'
_cell_length_a 8.4403
_cell_length_b 8.4403
_cell_length_c 21.2344
_cell_angle_alpha 90.00
_cell_angle_beta 90.00
_cell_angle_gamma 120.00
loop_
_atom_site_label
_atom_site_fract_x
_atom_site_fract_y
_atom_site_fract_z
_atom_site_occupancy
Sr1 0.0000 0.0000 0.0000 1
Sr2 0.0000 0.5000 0.0000 1
Sm1 0.0000 0.0000 0.5000 1
Y1 0.0000 0.5000 0.5000 1
Se1 0.0000 0.0000 0.2436 1
Se2 0.0037 0.5018 0.7556 1
```

Calculated values
* total magnetic moment: 0.0 μB/cell
* formation energy (no corrections): -1.90 eV/atom
* DOS at the Fermi energy: 5.81 states/eV/f.u.


4.
## SrSmY4Se8 (PBE)

Data for a geometry-optimized SrSmY4Se8 structure.

Cell and atoms, written as CIF:
```
data_SrSmY4Se8
_chemical_formula_sum 'Sr3 Sm3 Y12 Se24'
_symmetry_space_group_name_H-M 'R 3 m'
_symmetry_Int_Tables_number 160
_symmetry_space_group_name_Hall 'R 3 -2"'
_cell_length_a 8.5465
_cell_length_b 8.5465
_cell_length_c 21.0960
_cell_angle_alpha 90.00
_cell_angle_beta 90.00
_cell_angle_gamma 120.00
loop_
_atom_site_label
_atom_site_fract_x
_atom_site_fract_y
_atom_site_fract_z
_atom_site_occupancy
Sr1 0.0000 0.0000 0.0000 1
Sm1 0.0000 0.0000 0.6282 1
Y1 0.0000 0.0000 0.2514 1
Y2 0.1689 0.3378 0.4589 1
Se1 0.0000 0.0000 0.3839 1
Se2 0.0000 0.0000 0.8623 1
Se3 0.0326 0.5163 0.3824 1
Se4 0.1753 0.3506 0.2056 1
```

Calculated values
* total magnetic moment: 0.0 μB/cell
* formation energy (no corrections): -1.81 eV/atom
* DOS at the Fermi energy: 4.41 states/eV/f.u.


5.
## SrSmY2Se4 (PBE)

Data for a geometry-optimized SrSmY2Se4 structure.

Cell and atoms, written as CIF:
```
data_SrSmY2Se4
_chemical_formula_sum 'Sr1 Sm1 Y2 Se4'
_symmetry_space_group_name_H-M 'P 1 2/m 1'
_symmetry_Int_Tables_number 10
_cell_length_a 7.257
_cell_length_b 4.157
_cell_length_c 7.260
_cell_angle_alpha 90.00
_cell_angle_beta 109.05
_cell_angle_gamma 90.00
loop_
_symmetry_equiv_pos_as_xyz
'x,y,z'
'-x,-y,-z'
'-x,y,-z'
'x,-y,z'
loop_
_atom_site_label
_atom_site_fract_x
_atom_site_fract_y
_atom_site_fract_z
_atom_site_occupancy
Sr1 0.000 0.000 0.000 1
Sm1 0.500 0.500 0.000 1
Y1 0.000 0.500 0.500 1
Y2 0.500 0.000 0.500 1
Se1 0.250 0.000 0.740 1
Se2 0.259 0.500 0.264 1
```

Calculated values
* total magnetic moment: 0.0 μB/cell
* formation energy (no corrections): -1.83 eV/atom
* DOS at the Fermi energy: 3.22 states/eV/f.u.


6.
## Sm6TaSe12 (PBE)

Data for a geometry-optimized Sm6TaSe12 structure.

Cell and atoms, written as CIF:
```
data_Sm6TaSe12
_chemical_formula_sum 'Sm18 Ta3 Se36'
_symmetry_space_group_name_H-M 'R -3'
_symmetry_Int_Tables_number 148
_symmetry_space_group_name_Hall '-R 3'
_cell_length_a 12.4880
_cell_length_b 12.4880
_cell_length_c 11.9262
_cell_angle_alpha 90.00
_cell_angle_beta 90.00
_cell_angle_gamma 120.00
loop_
_atom_site_label
_atom_site_fract_x
_atom_site_fract_y
_atom_site_fract_z
_atom_site_occupancy
Sm1 0.0540 0.4425 0.3071 1
Ta1 0.0000 0.0000 0.0000 1
Se1 0.0364 0.2174 0.3969 1
Se2 0.0561 0.1942 0.8802 1
```

Calculated values
* total magnetic moment: 0.0 μB/cell
* formation energy (no corrections): -1.54 eV/atom
* DOS at the Fermi energy: 12.03 states/eV/f.u.


7.
## SmTaSe3 (PBE)

Data for a geometry-optimized SmTaSe3 structure.

Cell and atoms, written as CIF:
```
data_SmTaSe3
_chemical_formula_sum 'Sm4 Ta4 Se12'
_symmetry_space_group_name_H-M 'C 1 2/m 1'
_symmetry_Int_Tables_number 12
_cell_length_a 14.781
_cell_length_b 3.723
_cell_length_c 8.451
_cell_angle_alpha 90.00
_cell_angle_beta 92.41
_cell_angle_gamma 90.00
loop_
_symmetry_equiv_pos_as_xyz
'x,y,z'
'-x,-y,-z'
'-x,y,-z'
'x,-y,z'
'x+1/2,y+1/2,z'
'-x+1/2,-y+1/2,-z'
'-x+1/2,y+1/2,-z'
'x+1/2,-y+1/2,z'
loop_
_atom_site_label
_atom_site_fract_x
_atom_site_fract_y
_atom_site_fract_z
_atom_site_occupancy
Sm1 0.103 0.000 0.397 1
Ta1 0.207 0.500 0.878 1
Se1 0.055 0.500 0.670 1
Se2 0.121 0.000 0.034 1
Se3 0.248 0.000 0.665 1
```

Calculated values
* total magnetic moment: 0.0 μB/cell
* formation energy (no corrections): -1.28 eV/atom
* DOS at the Fermi energy: 2.11 states/eV/f.u.


8.
## TbSm4Se7 (PBE)

Data for a geometry-optimized TbSm4Se7 structure.

Cell and atoms, written as CIF:
```
data_TbSm4Se7
_chemical_formula_sum 'Tb2 Sm8 Se14'
_symmetry_space_group_name_H-M 'C 1 m 1'
_symmetry_Int_Tables_number 8
_cell_length_a 13.655
_cell_length_b 4.047
_cell_length_c 12.372
_cell_angle_alpha 90.00
_cell_angle_beta 104.69
_cell_angle_gamma 90.00
loop_
_symmetry_equiv_pos_as_xyz
'x,y,z'
'x,-y,z'
'x+1/2,y+1/2,z'
'x+1/2,-y+1/2,z'
loop_
_atom_site_label
_atom_site_fract_x
_atom_site_fract_y
_atom_site_fract_z
_atom_site_occupancy
Tb1 0.000 0.000 0.000 1
Sm1 0.113 0.000 0.421 1
Sm2 0.225 0.000 0.846 1
Sm3 0.313 0.500 0.232 1
Sm4 0.413 0.000 0.612 1
Se1 0.073 0.000 0.638 1
Se2 0.111 0.500 0.924 1
Se3 0.152 0.000 0.204 1
Se4 0.273 0.500 0.473 1
Se5 0.355 0.500 0.776 1
Se6 0.375 0.000 0.071 1
Se7 0.452 0.000 0.372 1
```

Calculated values
* total magnetic moment: 0.0 μB/cell
* formation energy (no corrections): -1.88 eV/atom
* DOS at the Fermi energy: 1.55 states/eV/f.u.


9.
## Tb4SmSe6 (PBE)

Data for a geometry-optimized Tb4SmSe6 structure.

Cell and atoms, written as CIF:
```
data_Tb4SmSe6
_chemical_formula_sum 'Tb16 Sm4 Se24'
_symmetry_space_group_name_H-M 'C m c m'
_symmetry_Int_Tables_number 63
_symmetry_space_group_name_Hall '-C 2c 2'
_cell_length_a 4.028
_cell_length_b 13.461
_cell_length_c 20.871
_cell_angle_alpha 90.00
_cell_angle_beta 90.00
_cell_angle_gamma 90.00
loop_
_atom_site_label
_atom_site_fract_x
_atom_site_fract_y
_atom_site_fract_z
_atom_site_occupancy
Tb1 0.000 0.090 0.127 1
Tb2 0.000 0.360 0.038 1
Sm1 0.000 0.154 0.750 1
Se1 0.000 0.000 0.000 1
Se2 0.000 0.187 0.250 1
Se3 0.000 0.269 0.591 1
Se4 0.000 0.448 0.166 1
```

Calculated values
* total magnetic moment: 0.0 μB/cell
* formation energy (no corrections): -1.84 eV/atom
* DOS at the Fermi energy: 2.96 states/eV/f.u.


10.
## Tb2Sm2Se7 (PBE)

Data for a geometry-optimized Tb2Sm2Se7 structure.

Cell and atoms, written as CIF:
```
data_Tb2Sm2Se7
_chemical_formula_sum 'Tb4 Sm4 Se14'
_symmetry_space_group_name_H-M 'C m m m'
_symmetry_Int_Tables_number 65
_symmetry_space_group_name_Hall '-C 2 2'
_cell_length_a 10.221
_cell_length_b 10.402
_cell_length_c 6.364
_cell_angle_alpha 90.00
_cell_angle_beta 90.00
_cell_angle_gamma 90.00
loop_
_atom_site_label
_atom_site_fract_x
_atom_site_fract_y
_atom_site_fract_z
_atom_site_occupancy
Tb1 0.222 0.000 0.000 1
Sm1 0.000 0.236 0.500 1
Se1 0.000 0.000 0.252 1
Se2 0.000 0.500 0.500 1
Se3 0.250 0.250 0.238 1
```

Calculated values
* total magnetic moment: 0.0 μB/cell
* formation energy (no corrections): -1.44 eV/atom
* DOS at the Fermi energy: 5.31 states/eV/f.u.